No. 1
This record from Alexandria via LeMat-Bulk describes an optimized crystal structure of TaCd2Os. The functional is PBEsol.

Structure (CIF):
```
data_TaCd2Os
_space_group_name_H-M_alt 'F -4 3 m'
_space_group_IT_number 216
_space_group_name_Hall 'F -4 2 3'
_cell_length_a 6.4965
_cell_length_b 6.4965
_cell_length_c 6.4965
_cell_angle_alpha 90.00
_cell_angle_beta 90.00
_cell_angle_gamma 90.00
loop_
_atom_site_label
_atom_site_type_symbol
_atom_site_fract_x
_atom_site_fract_y
_atom_site_fract_z
Ta1 Ta 0.0000 0.0000 0.0000
Cd1 Cd 0.0000 0.0000 0.5000
Cd2 Cd 0.2500 0.2500 0.7500
Os1 Os 0.2500 0.2500 0.2500
```

Fermi-level density of states = 15.89 states/eV per cell
calculated formation energy = 0.36 eV per atom
excess energy over the best structure of this formula in the dataset = 0.98 eV/f.u.
ρ = 14.4 g/cm3

---

No. 2
This record from Alexandria via LeMat-Bulk describes an optimized crystal structure of KTiNbO5. The functional is PBEsol.

Structure (CIF):
```
data_KTiNbO5
_space_group_name_H-M_alt 'P n m a'
_space_group_IT_number 62
_space_group_name_Hall '-P 2ac 2n'
_cell_length_a 6.4377
_cell_length_b 3.8002
_cell_length_c 18.4522
_cell_angle_alpha 90.00
_cell_angle_beta 90.00
_cell_angle_gamma 90.00
loop_
_atom_site_label
_atom_site_type_symbol
_atom_site_fract_x
_atom_site_fract_y
_atom_site_fract_z
K1 K 0.2213 0.2500 0.1922
Ti1 Ti 0.1784 0.2500 0.5335
Nb1 Nb 0.2262 0.2500 0.8893
O1 O 0.0340 0.2500 0.6209
O2 O 0.0681 0.7500 0.0726
O3 O 0.1425 0.7500 0.5104
O4 O 0.1548 0.2500 0.7948
O5 O 0.2365 0.7500 0.9211
```

energy relative to the elements, uncorrected = -2677 meV per atom
Fermi-level density of states = 0.00 states/eV per cell
ρ = 3.8 g/cm3

---

No. 3
This record from Alexandria via LeMat-Bulk describes an optimized crystal structure of Cd2WBr. The functional is PBEsol.

Structure (CIF):
```
data_Cd2WBr
_space_group_name_H-M_alt 'P 4 m m'
_space_group_IT_number 99
_space_group_name_Hall 'P 4 -2'
_cell_length_a 3.0076
_cell_length_b 3.0076
_cell_length_c 8.9306
_cell_angle_alpha 90.00
_cell_angle_beta 90.00
_cell_angle_gamma 90.00
loop_
_atom_site_label
_atom_site_type_symbol
_atom_site_fract_x
_atom_site_fract_y
_atom_site_fract_z
Cd1 Cd 0.0000 0.0000 0.0000
Cd2 Cd 0.5000 0.5000 0.2572
W1 W 0.0000 0.0000 0.4828
Br1 Br 0.5000 0.5000 0.6621
```

energy relative to the elements, uncorrected = 515 meV per atom
Fermi-level density of states = 2.72 states/eV per cell
excess energy over the best structure of this formula in the dataset = 0.00 eV/f.u.
ρ = 10.0 g/cm3

---

No. 4
This record from Alexandria via LeMat-Bulk describes an optimized crystal structure of Pd2AuN. The functional is PBEsol.

Structure (CIF):
```
data_Pd2AuN
_space_group_name_H-M_alt 'I -4 2 d'
_space_group_IT_number 122
_space_group_name_Hall 'I -4 2bw'
_cell_length_a 5.0290
_cell_length_b 5.0290
_cell_length_c 10.8164
_cell_angle_alpha 90.00
_cell_angle_beta 90.00
_cell_angle_gamma 90.00
loop_
_atom_site_label
_atom_site_type_symbol
_atom_site_fract_x
_atom_site_fract_y
_atom_site_fract_z
Pd1 Pd 0.1068 0.2500 0.1250
Au1 Au 0.0000 0.0000 0.5000
N1 N 0.0000 0.0000 0.0000
```

energy relative to the elements, uncorrected = 614 meV per atom
Fermi-level density of states = 5.56 states/eV per cell
ρ = 10.3 g/cm3

---

No. 5
This record from Alexandria via LeMat-Bulk describes an optimized crystal structure of TlTeAsI2. The functional is PBEsol.

Structure (CIF):
```
data_TlTeAsI2
_space_group_name_H-M_alt 'P 4/m m m'
_space_group_IT_number 123
_space_group_name_Hall '-P 4 2'
_cell_length_a 5.7972
_cell_length_b 5.7972
_cell_length_c 5.9097
_cell_angle_alpha 90.00
_cell_angle_beta 90.00
_cell_angle_gamma 90.00
loop_
_atom_site_label
_atom_site_type_symbol
_atom_site_fract_x
_atom_site_fract_y
_atom_site_fract_z
Tl1 Tl 0.0000 0.0000 0.0000
Te1 Te 0.0000 0.0000 0.5000
As1 As 0.5000 0.5000 0.5000
I1 I 0.0000 0.5000 0.0000
```

energy relative to the elements, uncorrected = 717 meV per atom
Fermi-level density of states = 3.66 states/eV per cell
ρ = 5.5 g/cm3

---

No. 6
This record from Alexandria via LeMat-Bulk describes an optimized crystal structure of K3ZrN. The functional is PBEsol.

Structure (CIF):
```
data_K3ZrN
_space_group_name_H-M_alt 'P m -3 m'
_space_group_IT_number 221
_space_group_name_Hall '-P 4 2 3'
_cell_length_a 5.5700
_cell_length_b 5.5700
_cell_length_c 5.5700
_cell_angle_alpha 90.00
_cell_angle_beta 90.00
_cell_angle_gamma 90.00
loop_
_atom_site_label
_atom_site_type_symbol
_atom_site_fract_x
_atom_site_fract_y
_atom_site_fract_z
K1 K 0.0000 0.0000 0.5000
Zr1 Zr 0.5000 0.5000 0.5000
N1 N 0.0000 0.0000 0.0000
```

energy relative to the elements, uncorrected = 1331 meV per atom
Fermi-level density of states = 13.98 states/eV per cell
ρ = 2.1 g/cm3

---

No. 7
This record from Alexandria via LeMat-Bulk describes an optimized crystal structure of BePdN2. The functional is PBEsol.

Structure (CIF):
```
data_BePdN2
_space_group_name_H-M_alt 'I -4 2 d'
_space_group_IT_number 122
_space_group_name_Hall 'I -4 2bw'
_cell_length_a 4.3895
_cell_length_b 4.3895
_cell_length_c 7.9739
_cell_angle_alpha 90.00
_cell_angle_beta 90.00
_cell_angle_gamma 90.00
loop_
_atom_site_label
_atom_site_type_symbol
_atom_site_fract_x
_atom_site_fract_y
_atom_site_fract_z
Be1 Be 0.0000 0.0000 0.0000
Pd1 Pd 0.0000 0.0000 0.5000
N1 N 0.1952 0.2500 0.1250
```

energy relative to the elements, uncorrected = 220 meV per atom
Fermi-level density of states = 4.09 states/eV per cell
ρ = 6.2 g/cm3

---

No. 8
This record from Alexandria via LeMat-Bulk describes an optimized crystal structure of TeAsBr. The functional is PBEsol.

Structure (CIF):
```
data_TeAsBr
_space_group_name_H-M_alt 'F m m 2'
_space_group_IT_number 42
_space_group_name_Hall 'F 2 -2'
_cell_length_a 3.8186
_cell_length_b 5.6980
_cell_length_c 14.1162
_cell_angle_alpha 90.00
_cell_angle_beta 90.00
_cell_angle_gamma 90.00
loop_
_atom_site_label
_atom_site_type_symbol
_atom_site_fract_x
_atom_site_fract_y
_atom_site_fract_z
Te1 Te 0.0000 0.0000 0.0000
As1 As 0.0000 0.0000 0.6432
Br1 Br 0.0000 0.0000 0.2830
```

energy relative to the elements, uncorrected = 125 meV per atom
Fermi-level density of states = 5.21 states/eV per cell
ρ = 6.1 g/cm3

---

No. 9
This record from Alexandria via LeMat-Bulk describes an optimized crystal structure of KIO3. The functional is PBEsol.

Structure (CIF):
```
data_KIO3
_space_group_name_H-M_alt 'I 2 2 2'
_space_group_IT_number 23
_space_group_name_Hall 'I 2 2'
_cell_length_a 8.7538
_cell_length_b 8.7749
_cell_length_c 8.8121
_cell_angle_alpha 90.00
_cell_angle_beta 90.00
_cell_angle_gamma 90.00
loop_
_atom_site_label
_atom_site_type_symbol
_atom_site_fract_x
_atom_site_fract_y
_atom_site_fract_z
K1 K 0.0000 0.0000 0.0000
K2 K 0.0000 0.0000 0.5000
K3 K 0.0000 0.5000 0.0000
K4 K 0.0000 0.5000 0.5000
I1 I 0.2489 0.2345 0.2351
O1 O 0.0397 0.2180 0.2244
O2 O 0.2086 0.4696 0.7525
O3 O 0.2150 0.2448 0.5309
```

energy relative to the elements, uncorrected = -968 meV per atom
Fermi-level density of states = 0.00 states/eV per cell
ρ = 4.2 g/cm3

---

No. 10
This record from Alexandria via LeMat-Bulk describes an optimized crystal structure of RbBe2P2. The functional is PBEsol.

Structure (CIF):
```
data_RbBe2P2
_space_group_name_H-M_alt 'I 4/m m m'
_space_group_IT_number 139
_space_group_name_Hall '-I 4 2'
_cell_length_a 3.4764
_cell_length_b 3.4764
_cell_length_c 14.7872
_cell_angle_alpha 90.00
_cell_angle_beta 90.00
_cell_angle_gamma 90.00
loop_
_atom_site_label
_atom_site_type_symbol
_atom_site_fract_x
_atom_site_fract_y
_atom_site_fract_z
Rb1 Rb 0.0000 0.0000 0.0000
Be1 Be 0.0000 0.5000 0.2500
P1 P 0.0000 0.0000 0.3420
```

Fermi-level density of states = 2.95 states/eV per cell
calculated formation energy = -0.34 eV per atom
ρ = 3.1 g/cm3

---

No. 11
This record from Alexandria via LeMat-Bulk describes an optimized crystal structure of SrReHgMo2. The functional is PBEsol.

Structure (CIF):
```
data_SrReHgMo2
_space_group_name_H-M_alt 'P 4/m m m'
_space_group_IT_number 123
_space_group_name_Hall '-P 4 2'
_cell_length_a 4.6776
_cell_length_b 4.6776
_cell_length_c 4.7758
_cell_angle_alpha 90.00
_cell_angle_beta 90.00
_cell_angle_gamma 90.00
loop_
_atom_site_label
_atom_site_type_symbol
_atom_site_fract_x
_atom_site_fract_y
_atom_site_fract_z
Sr1 Sr 0.0000 0.0000 0.0000
Re1 Re 0.0000 0.0000 0.5000
Hg1 Hg 0.5000 0.5000 0.5000
Mo1 Mo 0.0000 0.5000 0.0000
```

Fermi-level density of states = 6.19 states/eV per cell
calculated formation energy = 3.18 eV per atom
ρ = 10.6 g/cm3

---

No. 12
This record from Alexandria via LeMat-Bulk describes an optimized crystal structure of MgTaAl2. The functional is PBEsol.

Structure (CIF):
```
data_MgTaAl2
_space_group_name_H-M_alt 'P m m m'
_space_group_IT_number 47
_space_group_name_Hall '-P 2 2'
_cell_length_a 2.9425
_cell_length_b 3.9954
_cell_length_c 5.8264
_cell_angle_alpha 90.00
_cell_angle_beta 90.00
_cell_angle_gamma 90.00
loop_
_atom_site_label
_atom_site_type_symbol
_atom_site_fract_x
_atom_site_fract_y
_atom_site_fract_z
Mg1 Mg 0.0000 0.0000 0.0000
Ta1 Ta 0.0000 0.0000 0.5000
Al1 Al 0.5000 0.5000 0.2655
```

Fermi-level density of states = 2.27 states/eV per cell
calculated formation energy = -0.06 eV per atom
ρ = 6.3 g/cm3

---

No. 13
This record from Alexandria via LeMat-Bulk describes an optimized crystal structure of ScCu2Ru. The functional is PBEsol.

Structure (CIF):
```
data_ScCu2Ru
_space_group_name_H-M_alt 'P 4/m m m'
_space_group_IT_number 123
_space_group_name_Hall '-P 4 2'
_cell_length_a 3.7268
_cell_length_b 3.7268
_cell_length_c 3.9360
_cell_angle_alpha 90.00
_cell_angle_beta 90.00
_cell_angle_gamma 90.00
loop_
_atom_site_label
_atom_site_type_symbol
_atom_site_fract_x
_atom_site_fract_y
_atom_site_fract_z
Sc1 Sc 0.0000 0.0000 0.0000
Cu1 Cu 0.0000 0.5000 0.5000
Ru1 Ru 0.5000 0.5000 0.0000
```

Fermi-level density of states = 3.62 states/eV per cell
calculated formation energy = -0.17 eV per atom
ρ = 8.3 g/cm3